(1)
16
Lattice="8.322 0.000 0.000 0.000 8.322 0.000 0.000 0.000 8.322" Properties=species:S:1:pos:R:3 comment="Ba2TaI, single point on PBEsol structure, DFT meta-GGA SCAN" sg=Fm-3m dft_energy_ev_per_atom=-45.137 dos_at_fermi_per_ev_atom=0.6289 raw_formation_energy_ev_per_atom=0.469 pbc="T T T"
Ba 2.081 2.081 2.081
Ba 2.081 2.081 6.242
Ba 2.081 6.242 2.081
Ba 2.081 6.242 6.242
Ba 6.242 2.081 2.081
Ba 6.242 2.081 6.242
Ba 6.242 6.242 2.081
Ba 6.242 6.242 6.242
Ta 0.000 0.000 0.000
Ta 0.000 4.161 4.161
Ta 4.161 0.000 4.161
Ta 4.161 4.161 0.000
I 0.000 0.000 4.161
I 0.000 4.161 0.000
I 4.161 0.000 0.000
I 4.161 4.161 4.161


(2)
3
Lattice="3.870 0.000 0.000 -1.935 3.351 0.000 0.000 0.000 5.389" Properties=species:S:1:pos:R:3 comment="MnTlSe, single point on PBEsol structure, DFT meta-GGA SCAN" sg=P3m1 polymorph_energy_ev_per_atom=0.000 dft_energy_ev_per_atom=-37.261 dos_at_fermi_per_ev_atom=0.2926 raw_formation_energy_ev_per_atom=-0.364 pbc="T T T"
Mn 0.000 0.000 0.000
Tl 1.935 1.117 1.919
Se 0.000 2.234 4.356


(3)
8
Lattice="5.363 0.000 0.000 0.000 7.618 0.000 0.000 0.000 2.701" Properties=species:S:1:pos:R:3 comment="NiIrPt2, single point on PBEsol structure, DFT meta-GGA SCAN" sg=Cmmm polymorph_energy_ev_per_atom=0.000 dft_energy_ev_per_atom=-57.007 dos_at_fermi_per_ev_atom=0.6779 delta_e_f_ev_per_atom=-0.09 pbc="T T T"
Ni 0.000 0.000 0.000
Ni 2.682 3.809 0.000
Ir 0.000 3.809 0.000
Ir 2.682 0.000 0.000
Pt 1.341 1.904 1.350
Pt 1.341 5.713 1.350
Pt 4.023 1.904 1.350
Pt 4.023 5.713 1.350


(4)
4
Lattice="2.822 0.000 0.000 0.000 4.049 0.000 0.000 0.000 5.585" Properties=species:S:1:pos:R:3 comment="LiAgAu2, single point on PBEsol structure, DFT meta-GGA SCAN" sg=Pmmm polymorph_energy_ev_per_atom=0.011 dft_energy_ev_per_atom=-43.381 dos_at_fermi_per_ev_atom=0.2181 delta_e_f_ev_per_atom=-0.36 pbc="T T T"
Li 0.000 0.000 0.000
Ag 0.000 0.000 2.792
Au 1.411 2.025 1.362
Au 1.411 2.025 4.223


(5)
16
Lattice="5.781 0.000 0.000 0.000 5.781 0.000 0.000 0.000 5.781" Properties=species:S:1:pos:R:3 comment="Li2TaCo, single point on PBEsol structure, DFT meta-GGA SCAN" sg=Fm-3m polymorph_energy_ev_per_atom=0.540 dft_energy_ev_per_atom=-21.400 dos_at_fermi_per_ev_atom=0.7083 delta_e_f_ev_per_atom=0.77 pbc="T T T"
Li 1.445 1.445 1.445
Li 1.445 1.445 4.336
Li 1.445 4.336 1.445
Li 1.445 4.336 4.336
Li 4.336 1.445 1.445
Li 4.336 1.445 4.336
Li 4.336 4.336 1.445
Li 4.336 4.336 4.336
Ta 0.000 0.000 0.000
Ta 0.000 2.890 2.890
Ta 2.890 0.000 2.890
Ta 2.890 2.890 0.000
Co 0.000 0.000 2.890
Co 0.000 2.890 0.000
Co 2.890 0.000 0.000
Co 2.890 2.890 2.890


(6)
5
Lattice="5.092 0.000 0.000 0.000 5.092 0.000 0.000 0.000 5.180" Properties=species:S:1:pos:R:3 comment="SnAsPSe2, single point on PBEsol structure, DFT meta-GGA SCAN" sg=P4/mmm polymorph_energy_ev_per_atom=0.721 dft_energy_ev_per_atom=-20.198 dos_at_fermi_per_ev_atom=0.8541 raw_formation_energy_ev_per_atom=1.135 pbc="T T T"
Sn 0.000 0.000 0.000
As 0.000 0.000 2.590
P 2.546 2.546 2.590
Se 0.000 2.546 0.000
Se 2.546 0.000 0.000


(7)
36
Lattice="9.151 0.000 0.000 0.000 11.521 0.000 0.000 0.000 3.657" Properties=species:S:1:pos:R:3 comment="Tb2ReB6, single point on PBEsol structure, DFT meta-GGA SCAN" sg=Pbam dft_energy_ev_per_atom=-23.916 dos_at_fermi_per_ev_atom=0.2142 delta_e_f_ev_per_atom=-0.67 pbc="T T T"
Tb 0.526 1.499 0.000
Tb 1.619 4.767 0.000
Tb 2.957 10.527 0.000
Tb 4.049 7.259 0.000
Tb 5.102 4.262 0.000
Tb 6.194 0.994 0.000
Tb 7.532 6.754 0.000
Tb 8.624 10.022 0.000
Re 1.265 7.826 0.000
Re 3.310 2.066 0.000
Re 5.840 9.455 0.000
Re 7.886 3.695 0.000
B 0.162 3.321 1.828
B 0.486 6.534 1.828
B 0.917 11.198 1.828
B 1.193 9.378 1.828
B 1.911 2.701 1.828
B 2.273 6.698 1.828
B 2.302 0.938 1.828
B 2.665 8.462 1.828
B 3.382 3.618 1.828
B 3.658 5.437 1.828
B 4.089 0.774 1.828
B 4.413 9.082 1.828
B 4.737 2.440 1.828
B 5.062 10.747 1.828
B 5.493 6.084 1.828
B 5.769 7.903 1.828
B 6.486 3.059 1.828
B 6.848 10.584 1.828
B 6.878 4.823 1.828
B 7.240 8.820 1.828
B 7.957 2.143 1.828
B 8.233 0.323 1.828
B 8.664 4.987 1.828
B 8.989 8.200 1.828


(8)
4
Lattice="2.870 0.000 0.000 0.000 2.870 0.000 0.000 0.000 5.973" Properties=species:S:1:pos:R:3 comment="MgBe2Ru, single point on PBEsol structure, DFT meta-GGA SCAN" sg=P4mm dft_energy_ev_per_atom=-12.120 dos_at_fermi_per_ev_atom=0.6247 delta_e_f_ev_per_atom=0.01 pbc="T T T"
Mg 0.000 0.000 0.000
Be 0.000 0.000 2.981
Be 1.435 1.435 4.074
Ru 1.435 1.435 1.837


(9)
12
Lattice="3.088 0.000 0.000 -1.544 2.674 0.000 0.000 0.000 24.701" Properties=species:S:1:pos:R:3 comment="NbFeSe2, single point on PBEsol structure, DFT meta-GGA SCAN" sg=R-3m dft_energy_ev_per_atom=-22.709 dos_at_fermi_per_ev_atom=0.7270 raw_formation_energy_ev_per_atom=0.145 pbc="T T T"
Nb 0.000 0.000 0.000
Nb 0.000 1.783 16.467
Nb 1.544 0.891 8.234
Fe 0.000 0.000 12.351
Fe 0.000 1.783 4.117
Fe 1.544 0.891 20.584
Se 0.000 0.000 2.572
Se 0.000 0.000 22.129
Se 0.000 1.783 13.895
Se 0.000 1.783 19.040
Se 1.544 0.891 5.661
Se 1.544 0.891 10.806


(10)
10
Lattice="7.129 0.000 0.000 0.000 7.129 0.000 0.000 0.000 4.351" Properties=species:S:1:pos:R:3 comment="Y2InGa2, single point on PBEsol structure, DFT meta-GGA SCAN" sg=P4/mbm polymorph_energy_ev_per_atom=0.000 dft_energy_ev_per_atom=-25.150 dos_at_fermi_per_ev_atom=0.5035 delta_e_f_ev_per_atom=-0.80 pbc="T T T"
Y 1.233 2.331 0.000
Y 2.331 5.896 0.000
Y 4.798 1.233 0.000
Y 5.896 4.798 0.000
In 0.000 0.000 2.175
In 3.565 3.565 2.175
Ga 0.890 4.455 2.175
Ga 2.674 0.890 2.175
Ga 4.455 6.239 2.175
Ga 6.239 2.674 2.175


(11)
5
Lattice="5.180 0.000 0.000 0.000 5.180 0.000 0.000 0.000 4.366" Properties=species:S:1:pos:R:3 comment="LiNb2TlSb, single point on PBEsol structure, DFT meta-GGA SCAN" sg=P4/mmm dft_energy_ev_per_atom=-34.640 dos_at_fermi_per_ev_atom=0.7556 raw_formation_energy_ev_per_atom=1.014 pbc="T T T"
Li 0.000 0.000 0.000
Nb 0.000 2.590 2.183
Nb 2.590 0.000 2.183
Tl 0.000 0.000 2.183
Sb 2.590 2.590 0.000


(12)
3
Lattice="3.974 0.000 0.000 -1.987 3.442 0.000 0.000 0.000 3.251" Properties=species:S:1:pos:R:3 comment="CuNiBr, single point on PBEsol structure, DFT meta-GGA SCAN" sg=P3m1 dft_energy_ev_per_atom=-16.332 dos_at_fermi_per_ev_atom=0.3427 raw_formation_energy_ev_per_atom=0.612 pbc="T T T"
Cu 0.000 0.000 0.000
Ni 1.987 1.147 1.367
Br 0.000 2.294 1.740